(1)
# LiTb4Al12

Crystalline LiTb4Al12 at its relaxed geometry (PBE, Alexandria via LeMat-Bulk).

SG: No. 229

a b c (Å): 7.546 7.546 7.546
angles (deg): 109.47 109.47 109.47
Element x y z (fractional)
1 Li 0.000 0.000 0.000
2 Tb 0.000 0.000 0.500
3 Tb 0.500 0.000 0.000
4 Tb 0.500 0.500 0.500
5 Tb 0.000 0.500 0.000
6 Al 0.000 0.298 0.298
7 Al 0.000 0.702 0.702
8 Al 0.702 0.702 0.000
9 Al 0.298 0.298 0.000
10 Al 0.298 0.000 0.298
11 Al 0.702 0.000 0.702
12 Al 0.500 0.250 0.750
13 Al 0.500 0.750 0.250
14 Al 0.750 0.250 0.500
15 Al 0.250 0.750 0.500
16 Al 0.750 0.500 0.250
17 Al 0.250 0.500 0.750



(2)
# Ac7Al2Tl2

Crystalline Ac7Al2Tl2 at its relaxed geometry (PBE, Alexandria via LeMat-Bulk).

SG: No. 65

a b c (Å): 7.349 8.551 7.349
angles (deg): 90.00 110.64 90.00
Element x y z (fractional)
1 Ac 0.000 0.296 0.500
2 Ac 0.500 0.704 0.000
3 Ac 0.000 0.704 0.500
4 Ac 0.500 0.296 0.000
5 Ac 0.000 0.000 0.000
6 Ac 0.500 0.725 0.500
7 Ac 0.500 0.275 0.500
8 Al 0.841 0.500 0.841
9 Al 0.159 0.500 0.159
10 Tl 0.704 0.000 0.296
11 Tl 0.296 0.000 0.704



no.,DOS at the Fermi energy (states/eV/cell),total magnetic moment (μB per formula unit),E_form (eV/atom)
1,2.41,0.00,-0.402
2,15.14,0.00,0.018